Crystalline HoRe3Tc3 at its relaxed geometry. Source: Alexandria via LeMat-Bulk, functional GGA-PBE.

Unit cell a=6.823 b=6.823 c=6.823 alpha=90.00 beta=90.00 gamma=90.00
Fractional coordinates of all 14 atoms:
Ho: 0.000 0.000 0.000
Ho: 0.500 0.500 0.500
Re: 0.000 0.250 0.500
Re: 0.000 0.750 0.500
Re: 0.250 0.500 0.000
Re: 0.500 0.000 0.250
Re: 0.500 0.000 0.750
Re: 0.750 0.500 0.000
Tc: 0.000 0.500 0.250
Tc: 0.000 0.500 0.750
Tc: 0.250 0.000 0.500
Tc: 0.500 0.250 0.000
Tc: 0.500 0.750 0.000
Tc: 0.750 0.000 0.500

Computed properties:
mass density = 10.64 Mg/m³
ΔE_f = 6.97 eV/f.u.

=====

Crystalline Te2SeNCl at its relaxed geometry. Source: Alexandria via LeMat-Bulk, functional GGA-PBE.

Unit cell a=6.207 b=6.207 c=3.255 alpha=90.00 beta=90.00 gamma=90.00
Fractional coordinates of all 5 atoms:
Te: 0.000 0.500 0.000
Te: 0.500 0.000 0.000
Se: 0.000 0.000 0.500
N: 0.500 0.500 0.500
Cl: 0.500 0.500 0.000

Computed properties:
mass density = 5.08 Mg/m³
formation energy (no corrections) = 680 kJ/mol of formula units
distance to the lowest polymorph of the same formula = 208 kJ/mol of formula units

=====

Crystalline LaPr2Er5Sc at its relaxed geometry. Source: Alexandria via LeMat-Bulk, functional GGA-PBE.

Unit cell a=9.844 b=9.844 c=9.844 alpha=127.75 beta=127.75 gamma=77.03
Fractional coordinates of all 18 atoms:
La: 0.250 0.250 0.000
La: 0.750 0.750 0.000
Pr: 0.120 0.620 0.739
Pr: 0.380 0.120 0.500
Pr: 0.620 0.880 0.500
Pr: 0.880 0.380 0.261
Er: 0.000 0.000 0.000
Er: 0.066 0.154 0.500
Er: 0.154 0.654 0.088
Er: 0.346 0.434 0.500
Er: 0.434 0.934 0.088
Er: 0.500 0.500 0.000
Er: 0.566 0.066 0.912
Er: 0.654 0.566 0.500
Er: 0.846 0.346 0.912
Er: 0.934 0.846 0.500
Sc: 0.250 0.750 0.500
Sc: 0.750 0.250 0.500

Computed properties:
mass density = 7.47 Mg/m³
ΔE_f = 2.40 eV/f.u.

=====

Crystalline ThBiTeO6 at its relaxed geometry. Source: Alexandria via LeMat-Bulk, functional GGA-PBE.

Unit cell a=5.851 b=5.851 c=9.673 alpha=90.00 beta=90.00 gamma=120.00
Fractional coordinates of all 18 atoms:
Th: 0.333 0.667 0.250
Th: 0.667 0.333 0.750
Bi: 0.000 0.000 0.000
Bi: 0.000 0.000 0.500
Te: 0.333 0.667 0.750
Te: 0.667 0.333 0.250
O: 0.032 0.365 0.634
O: 0.032 0.667 0.866
O: 0.333 0.365 0.866
O: 0.333 0.968 0.634
O: 0.365 0.032 0.134
O: 0.365 0.333 0.366
O: 0.635 0.667 0.634
O: 0.635 0.968 0.866
O: 0.667 0.032 0.366
O: 0.667 0.635 0.134
O: 0.968 0.333 0.134
O: 0.968 0.635 0.366

Computed properties:
mass density = 7.70 Mg/m³
formation energy (no corrections) = -1589 kJ/mol of formula units

=====

Crystalline MgFe2Br at its relaxed geometry. Source: Alexandria via LeMat-Bulk, functional GGA-PBE.

Unit cell a=3.039 b=3.039 c=7.282 alpha=90.00 beta=90.00 gamma=90.00
Fractional coordinates of all 4 atoms:
Mg: 0.000 0.000 0.000
Fe: 0.500 0.500 0.256
Fe: 0.500 0.500 0.744
Br: 0.000 0.000 0.500

Computed properties:
mass density = 5.33 Mg/m³
formation energy (no corrections) = 219 kJ/mol of formula units
distance to the lowest polymorph of the same formula = 175 kJ/mol of formula units

=====

Crystalline PtF4 at its relaxed geometry. Source: Alexandria via LeMat-Bulk, functional GGA-PBE.

Unit cell a=4.852 b=5.521 c=5.731 alpha=118.06 beta=90.09 gamma=90.00
Fractional coordinates of all 10 atoms:
Pt: 0.000 0.000 0.000
Pt: 0.500 0.500 0.000
F: 0.247 0.854 0.699
F: 0.250 0.332 0.168
F: 0.250 0.832 0.168
F: 0.252 0.354 0.699
F: 0.748 0.646 0.301
F: 0.750 0.168 0.832
F: 0.750 0.668 0.832
F: 0.753 0.146 0.301

Computed properties:
mass density = 6.65 Mg/m³
formation energy (no corrections) = -558 kJ/mol of formula units
distance to the lowest polymorph of the same formula = 34 kJ/mol of formula units

=====

Crystalline SiTe at its relaxed geometry. Source: Alexandria via LeMat-Bulk, functional GGA-PBE.

Unit cell a=8.409 b=8.409 c=8.409 alpha=154.46 beta=154.46 gamma=36.43
Fractional coordinates of all 4 atoms:
Si: 0.076 0.076 0.000
Si: 0.924 0.924 0.000
Te: 0.370 0.370 0.000
Te: 0.630 0.630 0.000

Computed properties:
mass density = 4.69 Mg/m³
formation energy (no corrections) = 33 kJ/mol of formula units

=====

Crystalline Ce2NdIr9 at its relaxed geometry. Source: Alexandria via LeMat-Bulk, functional GGA-PBE.

Unit cell a=9.366 b=9.366 c=9.366 alpha=33.15 beta=33.15 gamma=33.15
Fractional coordinates of all 12 atoms:
Ce: 0.139 0.139 0.139
Ce: 0.861 0.861 0.861
Nd: 0.000 0.000 0.000
Ir: 0.082 0.583 0.583
Ir: 0.333 0.333 0.333
Ir: 0.417 0.417 0.918
Ir: 0.417 0.918 0.417
Ir: 0.500 0.500 0.500
Ir: 0.583 0.082 0.583
Ir: 0.583 0.583 0.082
Ir: 0.667 0.667 0.667
Ir: 0.918 0.417 0.417

Computed properties:
mass density = 16.36 Mg/m³
ΔE_f = -6.93 eV/f.u.

=====

Crystalline InBi2 at its relaxed geometry. Source: Alexandria via LeMat-Bulk, functional GGA-PBE.

Unit cell a=6.714 b=6.714 c=6.714 alpha=146.27 beta=146.27 gamma=48.45
Fractional coordinates of all 3 atoms:
In: 0.000 0.000 0.000
Bi: 0.325 0.325 0.000
Bi: 0.675 0.675 0.000

Computed properties:
mass density = 9.52 Mg/m³
ΔE_f = 0.25 eV/f.u.

=====

Crystalline Sm2HoTm at its relaxed geometry. Source: Alexandria via LeMat-Bulk, functional GGA-PBE.

Unit cell a=12.575 b=5.687 c=7.289 alpha=90.00 beta=90.00 gamma=90.00
Fractional coordinates of all 16 atoms:
Sm: 0.084 0.250 0.000
Sm: 0.084 0.250 0.499
Sm: 0.416 0.750 0.500
Sm: 0.416 0.750 0.999
Sm: 0.584 0.250 0.001
Sm: 0.584 0.250 0.500
Sm: 0.916 0.750 0.000
Sm: 0.916 0.750 0.501
Ho: 0.168 0.750 0.750
Ho: 0.332 0.250 0.250
Ho: 0.668 0.750 0.750
Ho: 0.832 0.250 0.250
Tm: 0.168 0.750 0.250
Tm: 0.332 0.250 0.750
Tm: 0.668 0.750 0.250
Tm: 0.832 0.250 0.750

Computed properties:
mass density = 8.09 Mg/m³
ΔE_f = 0.06 eV/f.u.
distance to the lowest polymorph of the same formula = 0 kJ/mol of formula units

=====

Crystalline LaSiSb2 at its relaxed geometry. Source: Alexandria via LeMat-Bulk, functional GGA-PBE.

Unit cell a=6.684 b=6.684 c=6.684 alpha=107.20 beta=107.20 gamma=114.11
Fractional coordinates of all 8 atoms:
La: 0.000 0.000 0.000
La: 0.750 0.250 0.500
Si: 0.250 0.750 0.500
Si: 0.500 0.500 0.000
Sb: 0.190 0.625 0.065
Sb: 0.375 0.440 0.565
Sb: 0.560 0.125 0.935
Sb: 0.875 0.810 0.435

Computed properties:
mass density = 5.96 Mg/m³
formation energy (no corrections) = -107 kJ/mol of formula units

=====

Crystalline Dy2Ho5Tl at its relaxed geometry. Source: Alexandria via LeMat-Bulk, functional GGA-PBE.

Unit cell a=6.949 b=13.961 c=4.934 alpha=90.00 beta=90.00 gamma=90.00
Fractional coordinates of all 16 atoms:
Dy: 0.245 0.127 0.000
Dy: 0.255 0.627 0.000
Dy: 0.745 0.373 0.000
Dy: 0.755 0.873 0.000
Ho: 0.000 0.000 0.500
Ho: 0.001 0.256 0.500
Ho: 0.244 0.874 0.000
Ho: 0.256 0.374 0.000
Ho: 0.499 0.756 0.500
Ho: 0.500 0.500 0.500
Ho: 0.501 0.244 0.500
Ho: 0.744 0.626 0.000
Ho: 0.756 0.126 0.000
Ho: 0.999 0.744 0.500
Tl: 0.000 0.500 0.500
Tl: 0.500 0.000 0.500

Computed properties:
mass density = 9.39 Mg/m³
ΔE_f = -0.40 eV/f.u.
distance to the lowest polymorph of the same formula = 0 kJ/mol of formula units

=====

Crystalline HfTi2V at its relaxed geometry. Source: Alexandria via LeMat-Bulk, functional GGA-PBE.

Unit cell a=4.633 b=4.633 c=4.633 alpha=60.00 beta=60.00 gamma=60.00
Fractional coordinates of all 4 atoms:
Hf: 0.000 0.000 0.000
Ti: 0.250 0.250 0.250
Ti: 0.750 0.750 0.750
V: 0.500 0.500 0.500

Computed properties:
mass density = 7.68 Mg/m³
ΔE_f = 0.73 eV/f.u.
distance to the lowest polymorph of the same formula = 42 kJ/mol of formula units

=====

Crystalline Cs2RbSe at its relaxed geometry. Source: Alexandria via LeMat-Bulk, functional GGA-PBE.

Unit cell a=10.231 b=10.231 c=10.231 alpha=32.95 beta=32.95 gamma=32.95
Fractional coordinates of all 4 atoms:
Cs: 0.000 0.000 0.000
Cs: 0.242 0.242 0.242
Rb: 0.487 0.487 0.487
Se: 0.609 0.609 0.609

Computed properties:
mass density = 2.53 Mg/m³
formation energy (no corrections) = -276 kJ/mol of formula units
distance to the lowest polymorph of the same formula = 0 kJ/mol of formula units

=====

Crystalline PmTh3Sc2 at its relaxed geometry. Source: Alexandria via LeMat-Bulk, functional GGA-PBE.

Unit cell a=3.521 b=3.521 c=14.469 alpha=90.00 beta=90.00 gamma=90.00
Fractional coordinates of all 6 atoms:
Pm: 0.000 0.000 0.000
Th: 0.500 0.500 0.180
Th: 0.500 0.500 0.500
Th: 0.500 0.500 0.820
Sc: 0.000 0.000 0.340
Sc: 0.000 0.000 0.660

Computed properties:
mass density = 8.62 Mg/m³
ΔE_f = 0.31 eV/f.u.

=====

Crystalline Ba3Li2PaS6 at its relaxed geometry. Source: Alexandria via LeMat-Bulk, functional GGA-PBE.

Unit cell a=7.314 b=7.314 c=8.002 alpha=90.00 beta=90.00 gamma=120.00
Fractional coordinates of all 12 atoms:
Ba: 0.000 0.000 0.000
Ba: 0.333 0.667 0.608
Ba: 0.667 0.333 0.392
Li: 0.333 0.667 0.178
Li: 0.667 0.333 0.822
Pa: 0.000 0.000 0.500
S: 0.167 0.335 0.300
S: 0.167 0.833 0.300
S: 0.335 0.167 0.700
S: 0.665 0.833 0.300
S: 0.833 0.167 0.700
S: 0.833 0.665 0.700

Computed properties:
mass density = 3.80 Mg/m³
formation energy (no corrections) = -1908 kJ/mol of formula units

=====

Crystalline KTc2Pb at its relaxed geometry. Source: Alexandria via LeMat-Bulk, functional GGA-PBE.

Unit cell a=6.182 b=6.182 c=6.182 alpha=152.00 beta=129.46 gamma=58.76
Fractional coordinates of all 4 atoms:
K: 0.000 0.000 0.000
Tc: 0.282 0.782 0.500
Tc: 0.718 0.218 0.500
Pb: 0.500 0.500 0.000

Computed properties:
mass density = 8.64 Mg/m³
ΔE_f = 5.17 eV/f.u.

=====

Crystalline Lu3Co at its relaxed geometry. Source: Alexandria via LeMat-Bulk, functional GGA-PBE.

Unit cell a=6.839 b=9.035 c=6.126 alpha=90.00 beta=90.00 gamma=90.00
Fractional coordinates of all 16 atoms:
Lu: 0.041 0.250 0.135
Lu: 0.176 0.066 0.677
Lu: 0.176 0.434 0.677
Lu: 0.324 0.566 0.177
Lu: 0.324 0.934 0.177
Lu: 0.459 0.750 0.635
Lu: 0.541 0.250 0.365
Lu: 0.676 0.066 0.823
Lu: 0.676 0.434 0.823
Lu: 0.824 0.566 0.323
Lu: 0.824 0.934 0.323
Lu: 0.959 0.750 0.865
Co: 0.111 0.750 0.460
Co: 0.389 0.250 0.960
Co: 0.611 0.750 0.040
Co: 0.889 0.250 0.540

Computed properties:
mass density = 10.25 Mg/m³
ΔE_f = -0.87 eV/f.u.

=====

Crystalline La5Pm2Y at its relaxed geometry. Source: Alexandria via LeMat-Bulk, functional GGA-PBE.

Unit cell a=6.737 b=6.737 c=16.720 alpha=90.00 beta=90.00 gamma=129.58
Fractional coordinates of all 16 atoms:
La: 0.035 0.965 0.750
La: 0.114 0.886 0.053
La: 0.114 0.886 0.447
La: 0.424 0.576 0.093
La: 0.424 0.576 0.407
La: 0.576 0.424 0.593
La: 0.576 0.424 0.907
La: 0.886 0.114 0.553
La: 0.886 0.114 0.947
La: 0.965 0.035 0.250
Pm: 0.275 0.725 0.634
Pm: 0.275 0.725 0.866
Pm: 0.725 0.275 0.134
Pm: 0.725 0.275 0.366
Y: 0.247 0.753 0.250
Y: 0.753 0.247 0.750

Computed properties:
mass density = 6.09 Mg/m³
ΔE_f = 0.89 eV/f.u.

=====

Crystalline CoAsPb2 at its relaxed geometry. Source: Alexandria via LeMat-Bulk, functional GGA-PBE.

Unit cell a=5.375 b=5.375 c=5.375 alpha=134.33 beta=123.19 gamma=75.75
Fractional coordinates of all 4 atoms:
Co: 0.000 0.000 0.000
As: 0.500 0.500 0.000
Pb: 0.224 0.724 0.500
Pb: 0.776 0.276 0.500

Computed properties:
mass density = 10.06 Mg/m³
ΔE_f = 2.19 eV/f.u.